1.
## NpIr4 (PBE-GGA)

Data for a relaxed structure of NpIr4.

ΔH_f (0 K) (eV/f.u.): 9.52

a = 4.772 Å, b = 4.772 Å, c = 4.772 Å
α = 90.00°, β = 90.00°, γ = 90.00°
Positions (direct):
1 Np 0.500 0.500 0.500
2 Ir 0.000 0.000 0.000
3 Ir 0.500 0.000 0.500
4 Ir 0.000 0.500 0.500
5 Ir 0.500 0.500 0.000

=====

2.
## HfIn3Pb (PBE-GGA)

Data for a relaxed structure of HfIn3Pb.

Energy above the lowest structure with this stoichiometry (meV per atom): 621
ΔH_f (0 K) (eV/f.u.): 5.75

a = 5.622 Å, b = 5.622 Å, c = 5.622 Å
α = 90.00°, β = 90.00°, γ = 90.00°
Positions (direct):
1 Pb 0.000 0.000 0.000
2 Hf 0.500 0.500 0.500
3 In 0.000 0.500 0.000
4 In 0.000 0.000 0.500
5 In 0.500 0.000 0.000

=====

3.
## Pm2HoSi4Pt3 (PBE-GGA)

Data for a relaxed structure of Pm2HoSi4Pt3.

Total energy (eV per atom): -6.38

a = 4.243 Å, b = 4.243 Å, c = 10.848 Å
α = 90.00°, β = 90.00°, γ = 90.00°
Positions (direct):
1 Pm 0.500 0.000 0.231
2 Pm 0.000 0.500 0.769
3 Ho 0.500 0.500 0.500
4 Si 0.500 0.500 0.000
5 Si 0.000 0.000 0.000
6 Si 0.500 0.000 0.666
7 Si 0.000 0.500 0.334
8 Pt 0.000 0.000 0.500
9 Pt 0.500 0.000 0.890
10 Pt 0.000 0.500 0.110

=====

4.
## PmSnHgAu (PBE-GGA)

Data for a relaxed structure of PmSnHgAu.

Energy above the lowest structure with this stoichiometry (meV per atom): 0
ΔH_f (0 K) (eV/f.u.): -2.14

a = 4.834 Å, b = 4.834 Å, c = 5.374 Å
α = 116.73°, β = 116.73°, γ = 90.00°
Positions (direct):
1 Pm 0.250 0.750 0.500
2 Sn 0.750 0.250 0.500
3 Hg 0.500 0.500 0.000
4 Au 0.000 0.000 0.000

=====

5.
## La2Si5Ir3 (PBE-GGA)

Data for a relaxed structure of La2Si5Ir3.

Total energy (eV per atom): -7.32

a = 5.951 Å, b = 8.322 Å, c = 8.322 Å
α = 90.40°, β = 68.95°, γ = 68.95°
Positions (direct):
1 La 0.268 0.862 0.603
2 La 0.232 0.397 0.138
3 La 0.732 0.138 0.397
4 La 0.768 0.603 0.862
5 Si 0.349 0.044 0.259
6 Si 0.151 0.741 0.956
7 Si 0.651 0.956 0.741
8 Si 0.849 0.259 0.044
9 Si 0.250 0.228 0.772
10 Si 0.750 0.772 0.228
11 Si 0.250 0.499 0.501
12 Si 0.750 0.501 0.499
13 Si 0.250 0.773 0.227
14 Si 0.750 0.227 0.773
15 Ir 0.111 0.249 0.526
16 Ir 0.389 0.474 0.751
17 Ir 0.889 0.751 0.474
18 Ir 0.611 0.526 0.249
19 Ir 0.250 0.000 0.000
20 Ir 0.750 0.000 0.000

=====

6.
## AcLa4Sm (PBE-GGA)

Data for a relaxed structure of AcLa4Sm.

Energy above the lowest structure with this stoichiometry (meV per atom): 0
ΔH_f (0 K) (eV/f.u.): 0.69

a = 6.047 Å, b = 10.854 Å, c = 7.193 Å
α = 90.00°, β = 90.00°, γ = 106.17°
Positions (direct):
1 Ac 0.656 0.811 0.750
2 Ac 0.344 0.189 0.250
3 La 0.444 0.393 0.750
4 La 0.556 0.607 0.250
5 La 0.279 0.059 0.750
6 La 0.721 0.941 0.250
7 La 0.145 0.787 0.036
8 La 0.855 0.213 0.536
9 La 0.145 0.787 0.464
10 La 0.855 0.213 0.964
11 Sm 0.015 0.535 0.750
12 Sm 0.985 0.465 0.250

=====

7.
## NdEuNiRu (PBE-GGA)

Data for a relaxed structure of NdEuNiRu.

ΔH_f (0 K) (eV/f.u.): 0.02

a = 4.943 Å, b = 4.943 Å, c = 4.943 Å
α = 60.00°, β = 60.00°, γ = 60.00°
Positions (direct):
1 Eu 0.500 0.500 0.500
2 Ru 0.750 0.750 0.750
3 Nd 0.000 0.000 0.000
4 Ni 0.250 0.250 0.250

=====

8.
## TmZrAlHg (PBE-GGA)

Data for a relaxed structure of TmZrAlHg.

ΔH_f (0 K) (eV/f.u.): -1.07

a = 5.000 Å, b = 5.000 Å, c = 5.000 Å
α = 60.00°, β = 60.00°, γ = 60.00°
Positions (direct):
1 Tm 0.750 0.750 0.750
2 Hg 0.000 0.000 0.000
3 Zr 0.250 0.250 0.250
4 Al 0.500 0.500 0.500